1.
Below is YScS2 after structural relaxation, with properties calculated at the PBE-GGA level.

Output
SG	I-42d
calculated density	3.1	g/cm3
magnetization	0.000	μB/cell

a = 5.943 Å, b = 5.943 Å, c = 7.278 Å
α = 65.90°, β = 65.90°, γ = 90.00°
Fractional positions:
Sc (0.250, 0.750, 0.500)
Sc (0.500, 0.500, 0.000)
S (0.375, 0.396, 0.750)
S (0.604, 0.125, 0.250)
S (0.146, 0.625, 0.250)
S (0.875, 0.854, 0.750)
Y (0.750, 0.250, 0.500)
Y (0.000, 0.000, 0.000)



2.
Below is YScS2 after structural relaxation, with properties calculated at the PBE-GGA level.

Output
SG	R-3m
calculated density	4.2	g/cm3
magnetization	0.000	μB/cell

a = 6.624 Å, b = 6.624 Å, c = 6.624 Å
α = 33.29°, β = 33.29°, γ = 33.29°
Fractional positions:
S (0.744, 0.744, 0.744)
S (0.256, 0.256, 0.256)
Y (0.500, 0.500, 0.500)
Sc (0.000, 0.000, 0.000)



3.
Below is YScS2 after structural relaxation, with properties calculated at the PBE-GGA level.

Output
SG	P-3m1
calculated density	4.1	g/cm3
magnetization	0.000	μB/cell

a = 3.688 Å, b = 3.688 Å, c = 6.757 Å
α = 90.00°, β = 90.00°, γ = 120.00°
Fractional positions:
Sc (0.000, 0.500, 0.000)
S (0.333, 0.167, 0.233)
S (0.667, 0.833, 0.767)
Y (0.000, 0.500, 0.500)



4.
Below is YScS2 after structural relaxation, with properties calculated at the PBE-GGA level.

Output
SG	R3m
calculated density	4.2	g/cm3
magnetization	0.000	μB/cell

a = 3.734 Å, b = 3.734 Å, c = 6.889 Å
α = 74.27°, β = 74.27°, γ = 60.00°
Fractional positions:
S (0.076, 0.076, 0.772)
S (0.256, 0.256, 0.231)
Y (0.495, 0.495, 0.515)
Sc (0.673, 0.673, 0.981)



Which of them is the least stable? Correct choice: 1.



1.
Below is YScS2 after structural relaxation, with properties calculated at the PBE-GGA level.

Output
SG	R-3m
calculated density	3.1	g/cm3
magnetization	0.000	μB/cell

a = 8.283 Å, b = 8.283 Å, c = 8.283 Å
α = 27.58°, β = 27.58°, γ = 27.58°
Fractional positions:
Y (0.500, 0.500, 0.500)
S (0.896, 0.896, 0.896)
S (0.104, 0.104, 0.104)
Sc (0.000, 0.000, 0.000)



2.
Below is YScS2 after structural relaxation, with properties calculated at the PBE-GGA level.

Output
SG	R-3m
calculated density	3.3	g/cm3
magnetization	0.000	μB/cell

a = 8.456 Å, b = 8.456 Å, c = 8.456 Å
α = 25.75°, β = 25.75°, γ = 25.75°
Fractional positions:
Sc (0.500, 0.500, 0.500)
S (0.891, 0.891, 0.891)
S (0.109, 0.109, 0.109)
Y (0.000, 0.000, 0.000)



3.
Below is YScS2 after structural relaxation, with properties calculated at the PBE-GGA level.

Output
SG	Fm-3m
calculated density	4.4	g/cm3
magnetization	1.270	μB/cell

a = 4.720 Å, b = 4.720 Å, c = 4.720 Å
α = 60.00°, β = 60.00°, γ = 60.00°
Each line ends with the local moment (μB).
Fractional positions:
S (0.750, 0.750, 0.750)  -0.02
S (0.250, 0.250, 0.250)  -0.02
Sc (0.000, 0.000, 0.000)  0.57
Y (0.500, 0.500, 0.500)  0.31



Which of them is the least stable? Correct choice: 1.



1.
Below is Y2ScS4 after structural relaxation, with properties calculated at the PBE-GGA level.

Output
SG	Fddd
calculated density	3.3	g/cm3
magnetization	0.000	μB/cell

a = 7.909 Å, b = 7.909 Å, c = 7.915 Å
α = 120.00°, β = 119.98°, γ = 89.97°
Fractional positions:
S (0.378, 0.622, 0.757)
S (0.872, 0.128, 0.743)
S (0.865, 0.621, 0.243)
S (0.378, 0.622, 0.243)
S (0.385, 0.129, 0.257)
S (0.872, 0.128, 0.257)
S (0.871, 0.615, 0.743)
S (0.379, 0.135, 0.757)
Y (0.125, 0.375, 0.750)
Y (0.625, 0.375, 0.750)
Y (0.625, 0.375, 0.250)
Y (0.625, 0.875, 0.250)
Sc (0.250, 0.750, 0.500)
Sc (0.000, 0.000, 0.000)



2.
Below is Y2ScS4 after structural relaxation, with properties calculated at the PBE-GGA level.

Output
SG	P-1
calculated density	3.7	g/cm3
magnetization	0.000	μB/cell

a = 6.954 Å, b = 6.646 Å, c = 7.415 Å
α = 90.18°, β = 105.22°, γ = 73.74°
Fractional positions:
Y (0.297, 0.314, 0.948)
Y (0.703, 0.686, 0.052)
Y (0.712, 0.683, 0.553)
Y (0.288, 0.317, 0.447)
S (0.497, 0.004, 0.252)
S (0.489, 0.512, 0.248)
S (0.511, 0.488, 0.752)
S (0.995, 0.255, 0.121)
S (0.998, 0.285, 0.626)
S (0.002, 0.715, 0.374)
S (0.503, 0.996, 0.748)
S (0.005, 0.745, 0.879)
Sc (0.814, 0.151, 0.814)
Sc (0.186, 0.849, 0.186)



Which of them is the least stable? Correct choice: 1.



1.
Below is YSc6S8 after structural relaxation, with properties calculated at the PBE-GGA level.

Output
SG	R-3
calculated density	3.0	g/cm3
magnetization	0.024	μB/cell

a = 7.000 Å, b = 7.000 Å, c = 7.000 Å
α = 92.79°, β = 92.79°, γ = 92.79°
Fractional positions:
S (0.370, 0.139, 0.721)
S (0.139, 0.721, 0.370)
S (0.721, 0.370, 0.139)
S (0.630, 0.861, 0.279)
S (0.279, 0.630, 0.861)
S (0.766, 0.766, 0.766)
S (0.234, 0.234, 0.234)
S (0.861, 0.279, 0.630)
Sc (0.810, 0.601, 0.436)
Sc (0.564, 0.190, 0.399)
Sc (0.601, 0.436, 0.810)
Sc (0.399, 0.564, 0.190)
Sc (0.436, 0.810, 0.601)
Sc (0.190, 0.399, 0.564)
Y (0.000, 0.000, 0.000)



2.
Below is YSc6S8 after structural relaxation, with properties calculated at the PBE-GGA level.

Output
SG	Fm-3m
calculated density	3.6	g/cm3
magnetization	0.000	μB/cell

a = 7.402 Å, b = 7.402 Å, c = 7.402 Å
α = 60.00°, β = 60.00°, γ = 60.00°
Fractional positions:
S (0.741, 0.259, 0.259)
S (0.259, 0.259, 0.741)
S (0.250, 0.250, 0.250)
S (0.741, 0.741, 0.259)
S (0.741, 0.259, 0.741)
S (0.259, 0.741, 0.259)
S (0.259, 0.741, 0.741)
S (0.750, 0.750, 0.750)
Sc (0.000, 0.500, 0.000)
Sc (0.000, 0.000, 0.500)
Sc (0.000, 0.500, 0.500)
Sc (0.500, 0.000, 0.500)
Sc (0.500, 0.000, 0.000)
Sc (0.500, 0.500, 0.000)
Y (0.000, 0.000, 0.000)



Which of them is the least stable? Correct choice: 1.